A plane-wave DFT calculation with PBE was carried out for a relaxed structure of YAg8.

Output
The spin magnetization comes out at 0.00 μB per formula unit. The volume is 19.19 Å³/atom. The formation enthalpy at 0 K comes out at -0.0434 eV per atom.

Unit cell a=8.908 b=8.908 c=4.354 alpha=90.00 beta=90.00 gamma=90.00
Space group I4/mmm (No. 139)
One atom of each set of equivalent atoms:
Y  0.000  0.000  0.000 x2
Ag  0.000  0.339  0.000 x8
Ag  0.171  0.171  0.500 x8